Entry 1:
Entry from Alexandria via LeMat-Bulk: a geometry-optimized PmCuPd2 structure (PBE).

E above lowest polymorph: 0.0000 eV/atom
DOS(E_F): 0.397 states/eV/atom

```
data_PmCuPd2
_chemical_formula_sum 'Pm8 Cu8 Pd16'
_cell_length_a 15.115
_cell_length_b 7.191
_cell_length_c 5.452
_cell_angle_alpha 90.00
_cell_angle_beta 90.00
_cell_angle_gamma 90.00
_symmetry_space_group_name_H-M 'P n m a'
_symmetry_Int_Tables_number 62
loop_
_symmetry_equiv_pos_as_xyz
'x,y,z'
'-x,-y,-z'
'-x+1/2,-y,z+1/2'
'x+1/2,y,-z+1/2'
'x+1/2,-y+1/2,-z+1/2'
'-x+1/2,y+1/2,z+1/2'
'-x,y+1/2,-z'
'x,-y+1/2,z'
loop_
_atom_site_label
_atom_site_type_symbol
_atom_site_fract_x
_atom_site_fract_y
_atom_site_fract_z
Pm1 Pm 0.107 0.250 0.234
Pm2 Pm 0.143 0.750 0.484
Cu1 Cu 0.071 0.750 0.993
Cu2 Cu 0.181 0.250 0.720
Pd1 Pd 0.036 0.050 0.739
Pd2 Pd 0.214 0.550 0.956
```

---

Entry 2:
Entry from Alexandria via LeMat-Bulk: a geometry-optimized VGePt3 structure (PBE).

E above lowest polymorph: 0.0000 eV/atom
DOS(E_F): 1.836 states/eV/atom

```
data_VGePt3
_chemical_formula_sum 'V1 Ge1 Pt3'
_cell_length_a 4.625
_cell_length_b 4.625
_cell_length_c 4.625
_cell_angle_alpha 90.00
_cell_angle_beta 90.00
_cell_angle_gamma 90.00
_symmetry_space_group_name_H-M 'P m -3 m'
_symmetry_Int_Tables_number 221
_symmetry_space_group_name_Hall '-P 4 2 3'
loop_
_atom_site_label
_atom_site_type_symbol
_atom_site_fract_x
_atom_site_fract_y
_atom_site_fract_z
V1 V 0.000 0.000 0.000
Ge1 Ge 0.500 0.500 0.500
Pt1 Pt 0.000 0.500 0.500
```